Computed, not measured: crystalline Hf3TlH at its relaxed geometry at the GGA-PBEsol level of DFT.

The structure in POSCAR format:
```
Hf3TlH
1.0
4.385 0.000 0.000
0.000 4.385 0.000
0.000 0.000 4.385
Hf Tl H
3 1 1
Cartesian
0.000 0.000 2.192
0.000 2.192 0.000
2.192 0.000 0.000
2.192 2.192 2.192
0.000 0.000 0.000
```

- Fermi-level density of states (states/eV/atom) = 0.58
- SG = Pm-3m (221)
- uncorrected energy (eV/atom) = -7.69